Compound: LaAg2Os
Source: Alexandria
Functional: PBEsol
Structure: optimized geometry Values from VASP.

Properties
Formation energy from the elements, meV/atom: 314
M_tot, μB per formula unit: 0.00
DFT total energy, eV per formula unit: -22.9

Structure (Quantum ESPRESSO input):
```
&SYSTEM
  ibrav = 0, nat = 4, ntyp = 3
/
ATOMIC_SPECIES
La 138.91 La.upf
Ag 107.87 Ag.upf
Os 190.23 Os.upf
ATOMIC_POSITIONS crystal
La 0.000 0.000 0.000
Ag 0.340 0.500 0.724
Ag 0.660 0.500 0.276
Os 0.500 0.000 0.500
CELL_PARAMETERS angstrom
2.944 0.000 0.000
0.000 5.018 0.000
-1.223 0.000 5.173
```